# 1
Computed, not measured: a geometry-optimized CaAc3As structure at the PBE-GGA level of DFT.

Output
The value obtained for the density of states at the Fermi level is 1.783 states/eV per atom.

```
data_CaAc3As
_chemical_formula_sum 'Ca1 Ac3 As1'
_cell_length_a 6.099
_cell_length_b 6.099
_cell_length_c 6.099
_cell_angle_alpha 90.00
_cell_angle_beta 90.00
_cell_angle_gamma 90.00
_space_group_name_H-M_alt 'P m -3 m'
_space_group_IT_number 221
_space_group_name_Hall '-P 4 2 3'
loop_
_atom_site_label
_atom_site_type_symbol
_atom_site_fract_x
_atom_site_fract_y
_atom_site_fract_z
Ca1 Ca 0.000 0.000 0.000
Ac1 Ac 0.000 0.500 0.500
As1 As 0.500 0.500 0.500
```

***

# 2
Computed, not measured: a geometry-optimized Ca3AcCe2As6 structure at the PBE-GGA level of DFT.

Output
The value obtained for the density of states at the Fermi level is 1.136 states/eV per atom.

```
data_Ca3AcCe2As6
_chemical_formula_sum 'Ca6 Ac2 Ce4 As12'
_cell_length_a 7.523
_cell_length_b 13.039
_cell_length_c 7.310
_cell_angle_alpha 90.00
_cell_angle_beta 110.20
_cell_angle_gamma 90.00
_space_group_name_H-M_alt 'C 1 2/m 1'
_space_group_IT_number 12
_space_group_name_Hall '-C 2y'
loop_
_atom_site_label
_atom_site_type_symbol
_atom_site_fract_x
_atom_site_fract_y
_atom_site_fract_z
Ca1 Ca 0.000 0.000 0.000
Ca2 Ca 0.000 0.337 0.000
Ac1 Ac 0.000 0.500 0.500
Ce1 Ce 0.000 0.167 0.500
As1 As 0.230 0.000 0.742
As2 As 0.244 0.176 0.259
```

***

# 3
Computed, not measured: a geometry-optimized CaAc2DyAs4 structure at the PBE-GGA level of DFT.

Output
The value obtained for the density of states at the Fermi level is 0.834 states/eV per atom.

```
data_CaAc2DyAs4
_chemical_formula_sum 'Ca1 Ac2 Dy1 As4'
_cell_length_a 7.468
_cell_length_b 4.405
_cell_length_c 7.653
_cell_angle_alpha 90.00
_cell_angle_beta 109.88
_cell_angle_gamma 90.00
_space_group_name_H-M_alt 'P 1 2/m 1'
_space_group_IT_number 10
_space_group_name_Hall '-P 2y'
loop_
_atom_site_label
_atom_site_type_symbol
_atom_site_fract_x
_atom_site_fract_y
_atom_site_fract_z
Ca1 Ca 0.000 0.000 0.000
Ac1 Ac 0.500 0.000 0.500
Ac2 Ac 0.500 0.500 0.000
Dy1 Dy 0.000 0.500 0.500
As1 As 0.229 0.000 0.737
As2 As 0.232 0.500 0.251
```

***

# 4
Computed, not measured: a geometry-optimized CaAc2HoAs4 structure at the PBE-GGA level of DFT.

Output
The value obtained for the density of states at the Fermi level is 0.833 states/eV per atom.

```
data_CaAc2HoAs4
_chemical_formula_sum 'Ca1 Ac2 Ho1 As4'
_cell_length_a 7.452
_cell_length_b 4.401
_cell_length_c 7.649
_cell_angle_alpha 90.00
_cell_angle_beta 109.88
_cell_angle_gamma 90.00
_space_group_name_H-M_alt 'P 1 2/m 1'
_space_group_IT_number 10
_space_group_name_Hall '-P 2y'
loop_
_atom_site_label
_atom_site_type_symbol
_atom_site_fract_x
_atom_site_fract_y
_atom_site_fract_z
Ca1 Ca 0.000 0.000 0.000
Ac1 Ac 0.500 0.000 0.500
Ac2 Ac 0.500 0.500 0.000
Ho1 Ho 0.000 0.500 0.500
As1 As 0.229 0.000 0.737
As2 As 0.232 0.500 0.251
```

***

# 5
Computed, not measured: a geometry-optimized CaAc2LaAs4 structure at the PBE-GGA level of DFT.

Output
The value obtained for the density of states at the Fermi level is 0.919 states/eV per atom.

```
data_CaAc2LaAs4
_chemical_formula_sum 'Ca1 Ac2 La1 As4'
_cell_length_a 7.664
_cell_length_b 4.472
_cell_length_c 7.709
_cell_angle_alpha 90.00
_cell_angle_beta 109.74
_cell_angle_gamma 90.00
_space_group_name_H-M_alt 'P 1 2/m 1'
_space_group_IT_number 10
_space_group_name_Hall '-P 2y'
loop_
_atom_site_label
_atom_site_type_symbol
_atom_site_fract_x
_atom_site_fract_y
_atom_site_fract_z
Ca1 Ca 0.000 0.000 0.000
Ac1 Ac 0.500 0.000 0.500
Ac2 Ac 0.500 0.500 0.000
La1 La 0.000 0.500 0.500
As1 As 0.240 0.000 0.746
As2 As 0.241 0.500 0.248
```

***

# 6
Computed, not measured: a geometry-optimized Li2CaAcAs2 structure at the PBE-GGA level of DFT.

Output
The value obtained for the density of states at the Fermi level is 0.381 states/eV per atom.

```
data_Li2CaAcAs2
_chemical_formula_sum 'Li2 Ca1 Ac1 As2'
_cell_length_a 4.4176
_cell_length_b 4.4176
_cell_length_c 8.0237
_cell_angle_alpha 90.00
_cell_angle_beta 90.00
_cell_angle_gamma 120.00
_space_group_name_H-M_alt 'P -3 m 1'
_space_group_IT_number 164
_space_group_name_Hall '-P 3 2"'
loop_
_atom_site_label
_atom_site_type_symbol
_atom_site_fract_x
_atom_site_fract_y
_atom_site_fract_z
Li1 Li 0.3333 0.6667 0.2143
Ca1 Ca 0.0000 0.0000 0.0000
Ac1 Ac 0.0000 0.0000 0.5000
As1 As 0.3333 0.6667 0.7676
```

***

# 7
Computed, not measured: a geometry-optimized CaAc2NdAs4 structure at the PBE-GGA level of DFT.

Output
The value obtained for the density of states at the Fermi level is 0.836 states/eV per atom.

```
data_CaAc2NdAs4
_chemical_formula_sum 'Ca1 Ac2 Nd1 As4'
_cell_length_a 7.589
_cell_length_b 4.441
_cell_length_c 7.689
_cell_angle_alpha 90.00
_cell_angle_beta 109.77
_cell_angle_gamma 90.00
_space_group_name_H-M_alt 'P 1 2/m 1'
_space_group_IT_number 10
_space_group_name_Hall '-P 2y'
loop_
_atom_site_label
_atom_site_type_symbol
_atom_site_fract_x
_atom_site_fract_y
_atom_site_fract_z
Ca1 Ca 0.000 0.000 0.000
Ac1 Ac 0.500 0.000 0.500
Ac2 Ac 0.500 0.500 0.000
Nd1 Nd 0.000 0.500 0.500
As1 As 0.236 0.000 0.743
As2 As 0.238 0.500 0.248
```

***

# 8
Computed, not measured: a geometry-optimized CaAcNiAs structure at the PBE-GGA level of DFT.

Output
The value obtained for the density of states at the Fermi level is 0.039 states/eV per atom.

```
data_CaAcNiAs
_chemical_formula_sum 'Ca4 Ac4 Ni4 As4'
_cell_length_a 7.356
_cell_length_b 7.356
_cell_length_c 7.356
_cell_angle_alpha 90.00
_cell_angle_beta 90.00
_cell_angle_gamma 90.00
_space_group_name_H-M_alt 'F -4 3 m'
_space_group_IT_number 216
_space_group_name_Hall 'F -4 2 3'
loop_
_atom_site_label
_atom_site_type_symbol
_atom_site_fract_x
_atom_site_fract_y
_atom_site_fract_z
Ca1 Ca 0.000 0.000 0.000
Ac1 Ac 0.000 0.000 0.500
Ni1 Ni 0.250 0.250 0.250
As1 As 0.250 0.250 0.750
```

***

ΔE_f values (in eV per atom) by entry order: -0.383; -1.234; -1.306; -1.302; -1.329; -1.006; -1.311; -0.564.